No. 1
Here is a relaxed structure of RbMn3V from Alexandria via LeMat-Bulk. Energies are from GGA-PBE.

## Properties
DOS(E_F)	0.407	states/eV per atom
space-group type	Pm-3m
formation energy	2.587	eV per atom
final energy	-4.9320	eV per atom
magnetization	15.13	μB per formula unit
energy above the most stable polymorph in this dataset	146.25	kJ/mol of atoms
crystal system	cubic
calculated volume	122.5	Å³/cell

Cell lengths 4.9662, 4.9662, 4.9662 Å; angles 90.00, 90.00, 90.00 degrees
Closest atoms and distances in Å follow each position.
Fractional coordinates of all 5 atoms:
1 Mn 0.0000 0.5000 0.0000  2 Rb 2.48
2 Mn 0.0000 0.0000 0.5000  2 Rb 2.48
3 Mn 0.5000 0.0000 0.0000  2 Rb 2.48
4 Rb 0.0000 0.0000 0.0000  6 Mn 2.48
5 V 0.5000 0.5000 0.5000  12 Mn 3.51


No. 2
Here is a relaxed structure of MgCu2W from Alexandria via LeMat-Bulk. Energies are from GGA-PBE.

## Properties
DOS(E_F)	0.836	states/eV per atom
space-group type	I-4m2
formation energy	0.577	eV per atom
final energy	-5.1076	eV per atom
magnetization	1.46	μB per formula unit
crystal system	tetragonal
calculated volume	58.5	Å³/cell

Cell lengths 4.8215, 4.8215, 4.8215 Å; angles 133.20, 133.20, 68.34 degrees
Closest atoms and distances in Å follow each position.
Fractional coordinates of all 4 atoms:
1 Cu 0.0000 0.0000 0.0000  4 Mg 2.71, 4 Cu 2.76, 4 W 2.76
2 Cu 0.2500 0.7500 0.5000  4 W 2.71, 4 Mg 2.76, 4 Cu 2.76
3 Mg 0.5000 0.5000 0.0000  8 Cu 2.71-2.76, 4 W 2.76
4 W 0.7500 0.2500 0.5000  8 Cu 2.71-2.76, 4 Mg 2.76


No. 3
Here is a relaxed structure of ErZn5Au7 from Alexandria via LeMat-Bulk. Energies are from GGA-PBE.

## Properties
DOS(E_F)	0.349	states/eV per atom
space-group type	Cm
formation energy	-0.345	eV per atom
final energy	-2.9506	eV per atom
magnetization	0.00	μB per formula unit
crystal system	monoclinic
calculated volume	228.3	Å³/cell

Cell lengths 5.3262, 7.0634, 7.0634 Å; angles 83.03, 67.96, 67.96 degrees
Closest atoms and distances in Å follow each position.
Fractional coordinates of all 13 atoms:
1 Er 0.9907 0.0101 0.0101  10 Au 3.02-3.36
2 Zn 0.5032 0.9966 0.4948  3 Zn 2.65-2.71, 7 Au 2.66-2.85
3 Zn 0.0051 0.9965 0.4951  3 Zn 2.65-2.70, 7 Au 2.67-2.85
4 Zn 0.5032 0.4948 0.9966  3 Zn 2.65-2.71, 7 Au 2.66-2.85
5 Zn 0.0051 0.4951 0.9965  3 Zn 2.65-2.70, 7 Au 2.67-2.85
6 Zn 0.7398 0.7609 0.7609  4 Zn 2.70-2.71, 6 Au 2.71-2.83
7 Au 0.6507 0.3490 0.3490  4 Zn 2.85, 3 Au 2.87-3.04, 1 Er 3.10
8 Au 0.3193 0.6806 0.6806  6 Zn 2.76-2.77, 1 Er 3.02, 1 Au 3.04
9 Au 0.9965 0.3365 0.6707  5 Zn 2.70-2.83, 3 Au 2.94-3.00
10 Au 0.9965 0.6707 0.3365  5 Zn 2.70-2.83, 3 Au 2.94-3.00
11 Au 0.2673 0.2318 0.2318  4 Zn 2.69, 6 Au 2.82-2.94
12 Au 0.5113 0.8031 0.1743  5 Zn 2.66-2.77, 1 Au 2.82
13 Au 0.5113 0.1743 0.8031  5 Zn 2.66-2.77, 1 Au 2.82


No. 4
Here is a relaxed structure of La3Y7Sc from Alexandria via LeMat-Bulk. Energies are from GGA-PBE.

## Properties
DOS(E_F)	1.749	states/eV per atom
space-group type	C2/m
formation energy	0.251	eV per atom
final energy	-5.7815	eV per atom
magnetization	0.00	μB per formula unit
energy above the most stable polymorph in this dataset	6.92	kJ/mol of atoms
crystal system	monoclinic
calculated volume	380.0	Å³/cell

Cell lengths 6.3969, 7.7416, 7.7443 Å; angles 82.72, 87.91, 87.94 degrees
Closest atoms and distances in Å follow each position.
Fractional coordinates of all 11 atoms:
1 La 0.0000 0.8221 0.1779  7 Y 3.30-3.63, 3 La 3.64-3.68
2 La 0.5000 0.0000 0.0000  6 Y 3.45-3.79, 4 La 3.68
3 La 0.0000 0.1779 0.8221  7 Y 3.30-3.63, 3 La 3.64-3.68
4 Y 0.7885 0.2435 0.2435  7 Y 3.33-3.73, 1 Sc 3.43, 3 La 3.45-3.58
5 Y 0.7309 0.8983 0.5658  6 Y 3.40-3.73, 3 La 3.51-3.79, 1 Sc 3.57
6 Y 0.2692 0.4342 0.1017  6 Y 3.40-3.73, 3 La 3.51-3.79, 1 Sc 3.57
7 Y 0.7308 0.5658 0.8983  6 Y 3.40-3.73, 3 La 3.51-3.79, 1 Sc 3.57
8 Y 0.0000 0.5000 0.5000  2 Sc 3.20, 2 La 3.30, 6 Y 3.33-3.56
9 Y 0.2691 0.1017 0.4342  6 Y 3.40-3.73, 3 La 3.51-3.79, 1 Sc 3.57
10 Y 0.2115 0.7565 0.7565  7 Y 3.33-3.73, 1 Sc 3.43, 3 La 3.45-3.58
11 Sc 0.5000 0.5000 0.5000  8 Y 3.20-3.57


No. 5
Here is a relaxed structure of Fe2ReIr from Alexandria via LeMat-Bulk. Energies are from GGA-PBE.

## Properties
DOS(E_F)	0.963	states/eV per atom
space-group type	P2/m
formation energy	0.035	eV per atom
final energy	-9.5233	eV per atom
magnetization	3.87	μB per formula unit
crystal system	monoclinic
calculated volume	53.0	Å³/cell

Cell lengths 2.6738, 4.6535, 5.2682 Å; angles 53.93, 90.00, 90.00 degrees
Closest atoms and distances in Å follow each position.
Fractional coordinates of all 4 atoms:
1 Fe 0.0000 0.0000 0.0000  4 Ir 2.63, 2 Re 2.63, 6 Fe 2.67-2.68
2 Fe 0.5000 0.5000 0.0000  4 Re 2.63, 2 Ir 2.63, 6 Fe 2.67-2.68
3 Ir 0.5000 0.5000 0.5000  6 Fe 2.63, 2 Ir 2.67, 4 Re 2.68
4 Re 0.0000 0.0000 0.5000  6 Fe 2.63, 2 Re 2.67, 4 Ir 2.68


No. 6
Here is a relaxed structure of KBeAl from Alexandria via LeMat-Bulk. Energies are from GGA-PBE.

## Properties
DOS(E_F)	0.848	states/eV per atom
space-group type	F-43m
formation energy	0.955	eV per atom
final energy	-1.9006	eV per atom
magnetization	0.00	μB per formula unit
energy above the most stable polymorph in this dataset	45.04	kJ/mol of atoms
crystal system	cubic
calculated volume	79.6	Å³/cell

Cell lengths 4.8287, 4.8287, 4.8287 Å; angles 60.00, 60.00, 60.00 degrees
Closest atoms and distances in Å follow each position.
Fractional coordinates of all 3 atoms:
1 Be 0.2500 0.2500 0.2500  4 Al 2.96, 4 K 2.96
2 K 0.0000 0.0000 0.0000  4 Be 2.96
3 Al 0.5000 0.5000 0.5000  4 Be 2.96


No. 7
Here is a relaxed structure of Tb3Pm2Nd7 from Alexandria via LeMat-Bulk. Energies are from GGA-PBE.

## Properties
DOS(E_F)	1.453	states/eV per atom
space-group type	P2/m
formation energy	0.069	eV per atom
final energy	-4.6618	eV per atom
magnetization	0.00	μB per formula unit
energy above the most stable polymorph in this dataset	0.00	kJ/mol of atoms
crystal system	monoclinic
calculated volume	414.7	Å³/cell

Cell lengths 3.6058, 6.5250, 17.6250 Å; angles 89.77, 90.00, 90.00 degrees
Closest atoms and distances in Å follow each position.
Fractional coordinates of all 12 atoms:
1 Tb 0.5000 0.5000 0.0000  2 Tb 3.61, 10 Nd 3.62-3.73
2 Tb 0.0000 0.9993 0.3406  2 Tb 3.61, 7 Nd 3.63-3.75, 4 Pm 3.67-3.80
3 Tb 0.0000 0.0007 0.6594  2 Tb 3.61, 7 Nd 3.63-3.75, 4 Pm 3.67-3.80
4 Pm 0.5000 0.4882 0.3296  5 Nd 3.43-3.58, 2 Pm 3.61, 4 Tb 3.67-3.80
5 Pm 0.5000 0.5118 0.6704  5 Nd 3.43-3.58, 2 Pm 3.61, 4 Tb 3.67-3.80
6 Nd 0.5000 0.2412 0.5042  2 Nd 3.15-3.38, 2 Pm 3.43-3.47
7 Nd 0.5000 0.7588 0.4958  2 Nd 3.15-3.38, 2 Pm 3.43-3.47
8 Nd 0.0000 0.3220 0.1654  2 Pm 3.58, 7 Nd 3.60-3.74, 3 Tb 3.62-3.73
9 Nd 0.0000 0.0000 0.0000  8 Nd 3.60-3.66, 4 Tb 3.73
10 Nd 0.0000 0.6780 0.8346  2 Pm 3.58, 7 Nd 3.60-3.74, 3 Tb 3.62-3.73
11 Nd 0.5000 0.1758 0.8312  1 Pm 3.58, 8 Nd 3.61-3.74, 3 Tb 3.66-3.71
12 Nd 0.5000 0.8242 0.1688  1 Pm 3.58, 8 Nd 3.61-3.74, 3 Tb 3.66-3.71


No. 8
Here is a relaxed structure of Hf2MgAgN from Alexandria via LeMat-Bulk. Energies are from GGA-PBE.

## Properties
DOS(E_F)	0.538	states/eV per atom
space-group type	P4/mmm
formation energy from raw total energies	-0.581	eV/atom
final energy	-7.1163	eV per atom
magnetization	0.00	μB per formula unit
crystal system	tetragonal
calculated volume	83.9	Å³/cell

Cell lengths 4.3982, 4.3982, 4.3380 Å; angles 90.00, 90.00, 90.00 degrees
Closest atoms and distances in Å follow each position.
Fractional coordinates of all 5 atoms:
1 Mg 0.0000 0.0000 0.5000  2 N 2.17
2 Hf 0.0000 0.5000 0.0000  2 N 2.20
3 Hf 0.5000 0.0000 0.0000  2 N 2.20
4 Ag 0.5000 0.5000 0.5000  8 Hf 3.09, 4 Mg 3.11
5 N 0.0000 0.0000 0.0000  2 Mg 2.17, 4 Hf 2.20